Entry 1:
TbNdAg GGA-PBE optimized geometry; energy of formation = -156.5 meV per atom; calculated volume = 85.7 Å³ per cell; energy = -12.72 eV per cell
1.0
3.631 0.000 0.000
0.000 3.631 0.000
-1.816 -1.816 6.496
Nd Tb Ag
1 1 1
direct
0.015 0.015 0.029
0.312 0.312 0.623
0.674 0.674 0.348


Entry 2:
TbNdAg GGA-PBE optimized geometry; energy of formation = -135.1 meV per atom; calculated volume = 172.3 Å³ per cell; energy = -25.31 eV per cell
1.0
4.967 0.000 0.000
0.000 3.686 0.000
0.000 1.843 9.409
Ag Tb Nd
2 2 2
direct
0.750 0.457 0.086
0.250 0.543 0.914
0.750 0.293 0.414
0.250 0.707 0.586
0.750 0.097 0.805
0.250 0.903 0.195


Entry 3:
TbNdAg GGA-PBE optimized geometry; energy of formation = -21.4 meV per atom; calculated volume = 84.6 Å³ per cell; energy = -12.31 eV per cell
1.0
-1.683 -3.302 0.520
4.361 -2.403 -1.146
-1.016 1.280 4.841
Nd Tb Ag
1 1 1
direct
0.627 0.667 0.333
0.073 0.000 0.000
0.299 0.333 0.667


Entry 4:
TbNd2Ag2 GGA-PBE optimized geometry; energy of formation = -44.6 meV per atom; calculated volume = 288.0 Å³ per cell; energy = -40.18 eV per cell
1.0
6.252 0.000 0.000
0.000 7.877 0.000
-3.126 -3.938 5.847
Tb Nd Ag
2 4 4
direct
0.750 0.500 0.000
0.250 0.500 0.000
0.790 0.641 0.580
0.210 0.359 0.420
0.710 0.062 0.420
0.290 0.938 0.580
0.445 0.777 0.889
0.555 0.223 0.111
0.055 0.888 0.111
0.945 0.112 0.889